Entry from Alexandria via LeMat-Bulk: a geometry-optimized UTl2Cl3F3 structure (PBE-GGA).

```
data_UTl2Cl3F3
_chemical_formula_sum 'U1 Tl2 Cl3 F3'
_symmetry_space_group_name_H-M 'P 1'
_symmetry_Int_Tables_number 1
_cell_length_a 3.707
_cell_length_b 8.069
_cell_length_c 8.069
_cell_angle_alpha 120.00
_cell_angle_beta 90.00
_cell_angle_gamma 90.00
loop_
_symmetry_equiv_pos_as_xyz
'x,y,z'
loop_
_atom_site_label
_atom_site_type_symbol
_atom_site_fract_x
_atom_site_fract_y
_atom_site_fract_z
F1 F 0.500 0.000 0.818
U1 U 0.000 0.000 0.000
F2 F 0.500 0.818 0.000
F3 F 0.500 0.182 0.182
Tl1 Tl 0.500 0.333 0.667
Tl2 Tl 0.500 0.667 0.333
Cl1 Cl 0.000 0.648 0.648
Cl2 Cl 0.000 0.000 0.352
Cl3 Cl 0.000 0.352 0.000
```

Values from the calculation:
Its total energy is -5.157 eV/atom. As for the raw formation energy: -2.137 eV per atom. As for the space group: No. 189.

---

Entry from Alexandria via LeMat-Bulk: a geometry-optimized PrAgSb structure (PBE-GGA).

```
data_PrAgSb
_chemical_formula_sum 'Pr1 Ag1 Sb1'
_symmetry_space_group_name_H-M 'P 1'
_symmetry_Int_Tables_number 1
_cell_length_a 4.260
_cell_length_b 4.661
_cell_length_c 4.661
_cell_angle_alpha 120.00
_cell_angle_beta 90.00
_cell_angle_gamma 90.00
loop_
_symmetry_equiv_pos_as_xyz
'x,y,z'
loop_
_atom_site_label
_atom_site_type_symbol
_atom_site_fract_x
_atom_site_fract_y
_atom_site_fract_z
Pr1 Pr 0.670 0.667 0.333
Ag1 Ag 0.150 0.000 0.000
Sb1 Sb 0.180 0.333 0.667
```

Values from the calculation:
Its total energy is -4.587 eV/atom. As for the raw formation energy: -0.669 eV per atom. As for the space group: No. 156.

---

Entry from Alexandria via LeMat-Bulk: a geometry-optimized BaAlReO2 structure (PBE-GGA).

```
data_BaAlReO2
_chemical_formula_sum 'Ba1 Al1 Re1 O2'
_symmetry_space_group_name_H-M 'P 1'
_symmetry_Int_Tables_number 1
_cell_length_a 3.996
_cell_length_b 6.726
_cell_length_c 3.996
_cell_angle_alpha 90.00
_cell_angle_beta 90.00
_cell_angle_gamma 90.00
loop_
_symmetry_equiv_pos_as_xyz
'x,y,z'
loop_
_atom_site_label
_atom_site_type_symbol
_atom_site_fract_x
_atom_site_fract_y
_atom_site_fract_z
Ba1 Ba 0.000 0.500 0.000
Re1 Re 0.000 0.000 0.000
O1 O 0.000 0.000 0.500
Al1 Al 0.500 0.500 0.500
O2 O 0.500 0.000 0.000
```

Values from the calculation:
Its total energy is -5.579 eV/atom. As for the raw formation energy: 0.027 eV per atom. As for the space group: No. 123.

---

Entry from Alexandria via LeMat-Bulk: a geometry-optimized Cu3NiPd structure (PBE-GGA).

```
data_Cu3NiPd
_chemical_formula_sum 'Cu3 Ni1 Pd1'
_symmetry_space_group_name_H-M 'P 1'
_symmetry_Int_Tables_number 1
_cell_length_a 4.600
_cell_length_b 4.600
_cell_length_c 4.600
_cell_angle_alpha 90.00
_cell_angle_beta 90.00
_cell_angle_gamma 90.00
loop_
_symmetry_equiv_pos_as_xyz
'x,y,z'
loop_
_atom_site_label
_atom_site_type_symbol
_atom_site_fract_x
_atom_site_fract_y
_atom_site_fract_z
Ni1 Ni 0.500 0.500 0.500
Cu1 Cu 0.000 0.500 0.000
Cu2 Cu 0.500 0.000 0.000
Pd1 Pd 0.000 0.000 0.000
Cu3 Cu 0.000 0.000 0.500
```

Values from the calculation:
The calculated formation energy comes out at 1239 meV per atom. Its total energy is -3.413 eV/atom. As for the space group: No. 221.

---

Entry from Alexandria via LeMat-Bulk: a geometry-optimized PrUTlO6 structure (PBE-GGA).

```
data_PrUTlO6
_chemical_formula_sum 'Pr2 U2 Tl2 O12'
_symmetry_space_group_name_H-M 'P 1'
_symmetry_Int_Tables_number 1
_cell_length_a 5.694
_cell_length_b 5.694
_cell_length_c 10.375
_cell_angle_alpha 90.00
_cell_angle_beta 90.00
_cell_angle_gamma 120.00
loop_
_symmetry_equiv_pos_as_xyz
'x,y,z'
loop_
_atom_site_label
_atom_site_type_symbol
_atom_site_fract_x
_atom_site_fract_y
_atom_site_fract_z
U1 U 0.333 0.667 0.750
O1 O 0.973 0.334 0.136
Tl1 Tl 0.333 0.667 0.250
O2 O 0.334 0.973 0.636
Pr1 Pr 0.000 0.000 0.500
O3 O 0.027 0.666 0.864
O4 O 0.027 0.361 0.636
Pr2 Pr 0.000 0.000 0.000
O5 O 0.639 0.973 0.864
O6 O 0.973 0.639 0.364
O7 O 0.639 0.666 0.636
O8 O 0.361 0.027 0.136
U2 U 0.667 0.333 0.250
O9 O 0.334 0.361 0.864
Tl2 Tl 0.667 0.333 0.750
O10 O 0.666 0.639 0.136
O11 O 0.666 0.027 0.364
O12 O 0.361 0.334 0.364
```

Values from the calculation:
Its total energy is -7.812 eV/atom. As for the raw formation energy: -2.458 eV per atom. As for the space group: No. 163.

---

Entry from Alexandria via LeMat-Bulk: a geometry-optimized Ti2NbN structure (PBE-GGA).

```
data_Ti2NbN
_chemical_formula_sum 'Ti2 Nb1 N1'
_symmetry_space_group_name_H-M 'P 1'
_symmetry_Int_Tables_number 1
_cell_length_a 4.279
_cell_length_b 4.279
_cell_length_c 4.279
_cell_angle_alpha 60.00
_cell_angle_beta 60.00
_cell_angle_gamma 60.00
loop_
_symmetry_equiv_pos_as_xyz
'x,y,z'
loop_
_atom_site_label
_atom_site_type_symbol
_atom_site_fract_x
_atom_site_fract_y
_atom_site_fract_z
Ti1 Ti 0.250 0.250 0.250
Ti2 Ti 0.750 0.750 0.750
Nb1 Nb 0.500 0.500 0.500
N1 N 0.000 0.000 0.000
```

Values from the calculation:
Its total energy is -7.886 eV/atom. As for the raw formation energy: 0.660 eV per atom. As for the space group: No. 225.

---

Entry from Alexandria via LeMat-Bulk: a geometry-optimized TiB6N6 structure (PBE-GGA).

```
data_TiB6N6
_chemical_formula_sum 'Ti1 B6 N6'
_symmetry_space_group_name_H-M 'P 1'
_symmetry_Int_Tables_number 1
_cell_length_a 4.559
_cell_length_b 4.559
_cell_length_c 4.559
_cell_angle_alpha 90.00
_cell_angle_beta 90.00
_cell_angle_gamma 90.00
loop_
_symmetry_equiv_pos_as_xyz
'x,y,z'
loop_
_atom_site_label
_atom_site_type_symbol
_atom_site_fract_x
_atom_site_fract_y
_atom_site_fract_z
Ti1 Ti 0.500 0.500 0.500
B1 B 0.740 0.000 0.500
N1 N 0.500 0.000 0.751
N2 N 0.000 0.249 0.500
N3 N 0.249 0.500 0.000
B2 B 0.500 0.740 0.000
N4 N 0.500 0.000 0.249
B3 B 0.500 0.260 0.000
B4 B 0.000 0.500 0.260
B5 B 0.260 0.000 0.500
N5 N 0.751 0.500 0.000
N6 N 0.000 0.751 0.500
B6 B 0.000 0.500 0.740
```

Values from the calculation:
Its total energy is -7.793 eV/atom. As for the raw formation energy: -0.262 eV per atom. As for the space group: No. 200.

---

Entry from Alexandria via LeMat-Bulk: a geometry-optimized NaPrHgF6 structure (PBE-GGA).

```
data_NaPrHgF6
_chemical_formula_sum 'Na2 Pr2 Hg2 F12'
_symmetry_space_group_name_H-M 'P 1'
_symmetry_Int_Tables_number 1
_cell_length_a 6.217
_cell_length_b 6.217
_cell_length_c 9.207
_cell_angle_alpha 90.00
_cell_angle_beta 90.00
_cell_angle_gamma 120.00
loop_
_symmetry_equiv_pos_as_xyz
'x,y,z'
loop_
_atom_site_label
_atom_site_type_symbol
_atom_site_fract_x
_atom_site_fract_y
_atom_site_fract_z
F1 F 0.341 0.003 0.627
F2 F 0.661 0.659 0.627
F3 F 0.339 0.341 0.373
F4 F 0.997 0.659 0.873
F5 F 0.341 0.339 0.873
Hg1 Hg 0.667 0.333 0.250
Na1 Na 0.000 0.000 0.000
F6 F 0.997 0.339 0.627
F7 F 0.659 0.661 0.127
Na2 Na 0.000 0.000 0.500
F8 F 0.003 0.661 0.373
F9 F 0.661 0.003 0.873
F10 F 0.339 0.997 0.127
F11 F 0.003 0.341 0.127
Pr1 Pr 0.333 0.667 0.250
F12 F 0.659 0.997 0.373
Pr2 Pr 0.667 0.333 0.750
Hg2 Hg 0.333 0.667 0.750
```

Values from the calculation:
Its total energy is -4.763 eV/atom. As for the raw formation energy: -2.805 eV per atom. As for the space group: No. 163.